Entry 1:
# CdAg2GeS4 (PBEsol, optimized geometry)
# Formation energy from raw total energies, kJ/mol of formula units: -264
# Crystal system: orthorhombic
data_CdAg2GeS4
_cell_length_a 13.6991
_cell_length_b 7.9057
_cell_length_c 6.5616
_cell_angle_alpha 90.00
_cell_angle_beta 90.00
_cell_angle_gamma 90.00
_symmetry_space_group_name_H-M 'P n a 21'
_symmetry_Int_Tables_number 33
_symmetry_space_group_name_Hall 'P 2c -2n'
loop_
_atom_site_label
_atom_site_fract_x
_atom_site_fract_y
_atom_site_fract_z
Cd1 0.1592 0.0106 0.0000
Ag1 0.0755 0.2538 0.5078
Ag2 0.1622 0.4993 0.9913
Ge1 0.0892 0.7550 0.5060
S1 0.0629 0.2597 0.1273
S2 0.0903 0.7500 0.1662
S3 0.1639 0.5196 0.6158
S4 0.1651 0.9887 0.6150

---

Entry 2:
# Hf2CdAgPb (PBEsol, optimized geometry)
# Fermi-level density of states, states/eV/f.u.: 3.15
# Crystal system: tetragonal
# E_form, eV/atom: 0.717
data_Hf2CdAgPb
_cell_length_a 5.0774
_cell_length_b 5.0774
_cell_length_c 4.9621
_cell_angle_alpha 90.00
_cell_angle_beta 90.00
_cell_angle_gamma 90.00
_symmetry_space_group_name_H-M 'P 4/m m m'
_symmetry_Int_Tables_number 123
_symmetry_space_group_name_Hall '-P 4 2'
loop_
_atom_site_label
_atom_site_fract_x
_atom_site_fract_y
_atom_site_fract_z
Hf1 0.0000 0.5000 0.0000
Cd1 0.0000 0.0000 0.5000
Ag1 0.0000 0.0000 0.0000
Pb1 0.5000 0.5000 0.5000

---

Entry 3:
# HfScCd2Ag (PBEsol, optimized geometry)
# Fermi-level density of states, states/eV/f.u.: 5.83
# Crystal system: tetragonal
# E_form, eV/atom: 0.653
data_HfScCd2Ag
_cell_length_a 4.9782
_cell_length_b 4.9782
_cell_length_c 5.1249
_cell_angle_alpha 90.00
_cell_angle_beta 90.00
_cell_angle_gamma 90.00
_symmetry_space_group_name_H-M 'P 4/m m m'
_symmetry_Int_Tables_number 123
_symmetry_space_group_name_Hall '-P 4 2'
loop_
_atom_site_label
_atom_site_fract_x
_atom_site_fract_y
_atom_site_fract_z
Hf1 0.0000 0.0000 0.0000
Sc1 0.5000 0.5000 0.0000
Cd1 0.0000 0.5000 0.5000
Ag1 0.0000 0.0000 0.5000

---

Entry 4:
# CdAgHg (PBEsol, optimized geometry)
# Distance to the lowest polymorph of the same formula, eV per atom: 0.000
# Fermi-level density of states, states/eV/f.u.: 0.86
# Crystal system: orthorhombic
# E_form, eV/atom: -0.013
data_CdAgHg
_cell_length_a 3.1820
_cell_length_b 4.0634
_cell_length_c 8.9186
_cell_angle_alpha 90.00
_cell_angle_beta 90.00
_cell_angle_gamma 90.00
_symmetry_space_group_name_H-M 'I m m 2'
_symmetry_Int_Tables_number 44
_symmetry_space_group_name_Hall 'I 2 -2'
loop_
_atom_site_label
_atom_site_fract_x
_atom_site_fract_y
_atom_site_fract_z
Cd1 0.0000 0.0000 0.0000
Ag1 0.0000 0.0000 0.3403
Hg1 0.0000 0.0000 0.6726

---

Entry 5:
# CdAgHg (PBEsol, optimized geometry)
# Distance to the lowest polymorph of the same formula, eV per atom: 0.032
# Fermi-level density of states, states/eV/f.u.: 0.78
# Crystal system: trigonal
# E_form, eV/atom: 0.019
data_CdAgHg
_cell_length_a 4.7740
_cell_length_b 4.7740
_cell_length_c 2.9274
_cell_angle_alpha 90.00
_cell_angle_beta 90.00
_cell_angle_gamma 120.00
_symmetry_space_group_name_H-M 'P 3 m 1'
_symmetry_Int_Tables_number 156
_symmetry_space_group_name_Hall 'P 3 -2"'
loop_
_atom_site_label
_atom_site_fract_x
_atom_site_fract_y
_atom_site_fract_z
Cd1 0.0000 0.0000 0.0000
Ag1 0.3333 0.6667 0.3968
Hg1 0.6667 0.3333 0.6515

---

Entry 6:
# CdAgHg3 (PBEsol, optimized geometry)
# Fermi-level density of states, states/eV/f.u.: 0.80
# Crystal system: cubic
# E_form, eV/atom: 0.280
data_CdAgHg3
_cell_length_a 5.3027
_cell_length_b 5.3027
_cell_length_c 5.3027
_cell_angle_alpha 90.00
_cell_angle_beta 90.00
_cell_angle_gamma 90.00
_symmetry_space_group_name_H-M 'P m -3 m'
_symmetry_Int_Tables_number 221
_symmetry_space_group_name_Hall '-P 4 2 3'
loop_
_atom_site_label
_atom_site_fract_x
_atom_site_fract_y
_atom_site_fract_z
Cd1 0.0000 0.0000 0.0000
Ag1 0.5000 0.5000 0.5000
Hg1 0.0000 0.5000 0.5000

---

Entry 7:
# CdAgHg (PBEsol, optimized geometry)
# Distance to the lowest polymorph of the same formula, eV per atom: 0.010
# Fermi-level density of states, states/eV/f.u.: 0.89
# Crystal system: tetragonal
# E_form, eV/atom: -0.003
data_CdAgHg
_cell_length_a 3.0956
_cell_length_b 3.0956
_cell_length_c 12.0447
_cell_angle_alpha 90.00
_cell_angle_beta 90.00
_cell_angle_gamma 90.00
_symmetry_space_group_name_H-M 'I 4 m m'
_symmetry_Int_Tables_number 107
_symmetry_space_group_name_Hall 'I 4 -2'
loop_
_atom_site_label
_atom_site_fract_x
_atom_site_fract_y
_atom_site_fract_z
Cd1 0.0000 0.0000 0.0000
Ag1 0.0000 0.0000 0.3424
Hg1 0.0000 0.0000 0.6781

---

Entry 8:
# KCdAg2I (PBEsol, optimized geometry)
# Fermi-level density of states, states/eV/f.u.: 2.74
# Formation energy from raw total energies, kJ/mol of formula units: 200
# Crystal system: tetragonal
data_KCdAg2I
_cell_length_a 5.5108
_cell_length_b 5.5108
_cell_length_c 6.2771
_cell_angle_alpha 90.00
_cell_angle_beta 90.00
_cell_angle_gamma 90.00
_symmetry_space_group_name_H-M 'P 4/m m m'
_symmetry_Int_Tables_number 123
_symmetry_space_group_name_Hall '-P 4 2'
loop_
_atom_site_label
_atom_site_fract_x
_atom_site_fract_y
_atom_site_fract_z
K1 0.0000 0.0000 0.0000
Cd1 0.5000 0.5000 0.0000
Ag1 0.0000 0.5000 0.5000
I1 0.0000 0.0000 0.5000

---

Entry 9:
# CdAgSbI2 (PBEsol, optimized geometry)
# Fermi-level density of states, states/eV/f.u.: 3.62
# Formation energy from raw total energies, kJ/mol of formula units: 192
# Crystal system: tetragonal
data_CdAgSbI2
_cell_length_a 5.5386
_cell_length_b 5.5386
_cell_length_c 5.4230
_cell_angle_alpha 90.00
_cell_angle_beta 90.00
_cell_angle_gamma 90.00
_symmetry_space_group_name_H-M 'P 4/m m m'
_symmetry_Int_Tables_number 123
_symmetry_space_group_name_Hall '-P 4 2'
loop_
_atom_site_label
_atom_site_fract_x
_atom_site_fract_y
_atom_site_fract_z
Cd1 0.0000 0.0000 0.0000
Ag1 0.5000 0.5000 0.5000
Sb1 0.5000 0.5000 0.0000
I1 0.0000 0.5000 0.5000

---

Entry 10:
# Cd2InAg2 (PBEsol, optimized geometry)
# Distance to the lowest polymorph of the same formula, eV per atom: 0.000
# Fermi-level density of states, states/eV/f.u.: 1.51
# Crystal system: tetragonal
# E_form, eV/atom: 0.010
data_Cd2InAg2
_cell_length_a 8.4169
_cell_length_b 8.4169
_cell_length_c 3.0634
_cell_angle_alpha 90.00
_cell_angle_beta 90.00
_cell_angle_gamma 90.00
_symmetry_space_group_name_H-M 'P 4/m b m'
_symmetry_Int_Tables_number 127
_symmetry_space_group_name_Hall '-P 4 2ab'
loop_
_atom_site_label
_atom_site_fract_x
_atom_site_fract_y
_atom_site_fract_z
Cd1 0.1263 0.3737 0.0000
In1 0.0000 0.0000 0.0000
Ag1 0.1715 0.6715 0.5000

---

Entry 11:
# CdInAg (PBEsol, optimized geometry)
# Fermi-level density of states, states/eV/f.u.: 0.74
# Crystal system: orthorhombic
# E_form, eV/atom: -0.003
data_CdInAg
_cell_length_a 3.4004
_cell_length_b 4.0982
_cell_length_c 8.6580
_cell_angle_alpha 90.00
_cell_angle_beta 90.00
_cell_angle_gamma 90.00
_symmetry_space_group_name_H-M 'I m m 2'
_symmetry_Int_Tables_number 44
_symmetry_space_group_name_Hall 'I 2 -2'
loop_
_atom_site_label
_atom_site_fract_x
_atom_site_fract_y
_atom_site_fract_z
Cd1 0.0000 0.0000 0.0000
In1 0.0000 0.0000 0.3295
Ag1 0.0000 0.0000 0.6638

---

Entry 12:
# CdInAg (PBEsol, optimized geometry)
# Fermi-level density of states, states/eV/f.u.: 0.78
# Crystal system: monoclinic
# E_form, eV/atom: -0.004
data_CdInAg
_cell_length_a 5.2669
_cell_length_b 5.2790
_cell_length_c 5.0812
_cell_angle_alpha 90.00
_cell_angle_beta 120.94
_cell_angle_gamma 90.00
_symmetry_space_group_name_H-M 'C 1 m 1'
_symmetry_Int_Tables_number 8
_symmetry_space_group_name_Hall 'C -2y'
loop_
_atom_site_label
_atom_site_fract_x
_atom_site_fract_y
_atom_site_fract_z
Cd1 0.0000 0.0000 0.0000
In1 0.3281 0.0000 0.6561
Ag1 0.1623 0.5000 0.3254

---

Entry 13:
# Cd2InAg2 (PBEsol, optimized geometry)
# Distance to the lowest polymorph of the same formula, eV per atom: 0.084
# Fermi-level density of states, states/eV/f.u.: 2.17
# Crystal system: tetragonal
# E_form, eV/atom: 0.094
data_Cd2InAg2
_cell_length_a 3.8896
_cell_length_b 3.8896
_cell_length_c 14.1662
_cell_angle_alpha 90.00
_cell_angle_beta 90.00
_cell_angle_gamma 90.00
_symmetry_space_group_name_H-M 'I 4/m m m'
_symmetry_Int_Tables_number 139
_symmetry_space_group_name_Hall '-I 4 2'
loop_
_atom_site_label
_atom_site_fract_x
_atom_site_fract_y
_atom_site_fract_z
Cd1 0.0000 0.0000 0.1028
In1 0.0000 0.0000 0.5000
Ag1 0.0000 0.5000 0.2500